VASP calculation (GGA-PBE) on a relaxed VPtRh4 crystal.

The structure in POSCAR format:
```
VPtRh4
1.0
2.183 -6.147 0.000
2.183 6.147 0.000
0.000 0.000 7.009
V Pt Rh
2 2 8
Cartesian
2.183 4.239 5.257
2.183 -4.239 1.752
2.183 1.655 5.257
2.183 -1.655 1.752
0.000 0.000 0.000
0.000 0.000 3.504
2.183 3.437 0.493
2.183 3.437 3.012
2.183 0.885 1.752
2.183 -0.885 5.257
2.183 -3.437 3.997
2.183 -3.437 6.516
```

Properties
- space-group type = Cmcm (63)
- electronic total energy (eV/atom) = -7.2263